Record 1
# AgSb2Br

Crystalline AgSb2Br at its relaxed geometry (GGA-PBE, Alexandria via LeMat-Bulk).

a b c (Å): 3.9721 3.9721 7.2168
angles (deg): 90.00 90.00 90.00
Element x y z (fractional)
Sb: 0.0000 0.0000 0.0838
Sb: 0.5000 0.5000 0.2422
Br: 0.5000 0.5000 0.6858
Ag: 0.0000 0.0000 0.4882

Calculated values
The total energy is -3.15 eV/atom. The calculation puts the mass density at 6.3 g/cm³.

Record 2
# Ca2MgCl

Crystalline Ca2MgCl at its relaxed geometry (GGA-PBE, Alexandria via LeMat-Bulk).

a b c (Å): 3.7186 4.0974 8.4303
angles (deg): 90.04 90.00 90.00
Element x y z (fractional)
Ca: 0.0000 0.2500 0.9880
Ca: 0.0000 0.2500 0.5120
Cl: 0.5000 0.2500 0.2500
Mg: 0.5000 0.7500 0.7500

Calculated values
The total energy is -2.67 eV/atom. The calculation puts the mass density at 1.8 g/cm³.

Record 3
# AcSnSe

Crystalline AcSnSe at its relaxed geometry (GGA-PBE, Alexandria via LeMat-Bulk).

a b c (Å): 4.0098 5.1043 5.1043
angles (deg): 120.00 90.00 90.00
Element x y z (fractional)
Ac: 0.6667 0.3333 0.6667
Sn: 0.1665 0.0000 0.0000
Se: 0.1668 0.6667 0.3333

Calculated values
The total energy is -4.63 eV/atom. The calculation puts the mass density at 7.8 g/cm³.

Record 4
# Dy4Te3Ru

Crystalline Dy4Te3Ru at its relaxed geometry (GGA-PBE, Alexandria via LeMat-Bulk).

a b c (Å): 4.1956 7.5798 7.5798
angles (deg): 108.30 90.00 90.00
Element x y z (fractional)
Ru: 0.5000 0.0000 0.0000
Te: 0.0000 0.0000 0.5000
Te: 0.5000 0.5000 0.5000
Te: 0.0000 0.5000 0.0000
Dy: 0.0000 0.2160 0.2160
Dy: 0.5000 0.7818 0.2182
Dy: 0.0000 0.7840 0.7840
Dy: 0.5000 0.2182 0.7818

Calculated values
The total energy is -5.68 eV/atom. The calculation puts the mass density at 8.2 g/cm³.

Record 5
# CaHf3Se

Crystalline CaHf3Se at its relaxed geometry (GGA-PBE, Alexandria via LeMat-Bulk).

a b c (Å): 5.0586 5.0586 5.0586
angles (deg): 90.00 90.00 90.00
Element x y z (fractional)
Ca: 0.5000 0.5000 0.5000
Hf: 0.0000 0.5000 0.0000
Hf: 0.0000 0.0000 0.5000
Hf: 0.5000 0.0000 0.0000
Se: 0.0000 0.0000 0.0000

Calculated values
The total energy is -7.02 eV/atom. The calculation puts the mass density at 8.4 g/cm³.

Record 6
# Pm6SmNi3

Crystalline Pm6SmNi3 at its relaxed geometry (GGA-PBE, Alexandria via LeMat-Bulk).

a b c (Å): 7.1646 8.7397 8.7397
angles (deg): 98.77 90.00 90.00
Element x y z (fractional)
Pm: 0.1718 0.7067 0.6286
Pm: 0.6718 0.6286 0.7067
Pm: 0.3200 0.5825 0.9678
Pm: 0.8200 0.9678 0.5825
Pm: 0.1592 0.0339 0.9661
Pm: 0.5076 0.2275 0.7725
Pm: 0.0076 0.7725 0.2275
Pm: 0.6592 0.9661 0.0339
Pm: 0.3200 0.0322 0.4175
Pm: 0.8200 0.4175 0.0322
Pm: 0.1718 0.3714 0.2933
Pm: 0.6718 0.2933 0.3714
Sm: 0.0455 0.3246 0.6754
Sm: 0.5455 0.6754 0.3246
Ni: 0.4562 0.9104 0.7075
Ni: 0.9562 0.7075 0.9104
Ni: 0.3772 0.4218 0.5782
Ni: 0.8772 0.5782 0.4218
Ni: 0.9562 0.0896 0.2925
Ni: 0.4562 0.2925 0.0896

Calculated values
The calculation puts the mass density at 7.3 g/cm³. For the formation enthalpy at 0 K, the calculation gives -159 meV/atom.

Record 7
# La2Ta

Crystalline La2Ta at its relaxed geometry (GGA-PBE, Alexandria via LeMat-Bulk).

a b c (Å): 6.2262 6.2262 6.2325
angles (deg): 59.20 59.20 65.48
Element x y z (fractional)
La: 0.0428 0.3088 0.8262
La: 0.6912 0.9572 0.6738
La: 0.3088 0.0428 0.3262
La: 0.9572 0.6912 0.1738
Ta: 0.5029 0.4971 0.7500
Ta: 0.4971 0.5029 0.2500

Calculated values
The calculation puts the mass density at 8.7 g/cm³. For the formation enthalpy at 0 K, the calculation gives 415 meV/atom.

Record 8
# ScCoOsC2

Crystalline ScCoOsC2 at its relaxed geometry (GGA-PBE, Alexandria via LeMat-Bulk).

a b c (Å): 3.9167 4.6981 3.9167
angles (deg): 90.00 90.00 90.00
Element x y z (fractional)
Sc: 0.5000 0.5000 0.5000
Co: 0.0000 0.5000 0.0000
C: 0.0000 0.0000 0.5000
C: 0.5000 0.0000 0.0000
Os: 0.0000 0.0000 0.0000

Calculated values
The calculation puts the mass density at 7.3 g/cm³. For the formation enthalpy at 0 K, the calculation gives 979 meV/atom.